A plane-wave DFT calculation with PBE-GGA was carried out for an optimized crystal structure of Pr2Tm3Cd3.

Cell: 3.784 5.283 22.475 Å, 90.00 90.00 90.00°
Atoms (fractional coordinates):
Pr1 0.000 0.000 0.231
Pr2 0.000 0.000 0.769
Pr3 0.500 0.500 0.269
Pr4 0.500 0.500 0.731
Tm1 0.000 0.000 0.000
Tm2 0.000 0.500 0.119
Tm3 0.000 0.500 0.881
Tm4 0.500 0.000 0.381
Tm5 0.500 0.000 0.619
Tm6 0.500 0.500 0.500
Cd1 0.000 0.000 0.500
Cd2 0.000 0.500 0.389
Cd3 0.000 0.500 0.611
Cd4 0.500 0.000 0.111
Cd5 0.500 0.000 0.889
Cd6 0.500 0.500 0.000

Summary:
The density of states at the Fermi level is 6.6 states/eV/f.u. Its space-group type is Immm (71). The calculation puts the energy of formation at -208 meV per atom. For the density, the calculation gives 8.32 g/cm3.